No. 1
{"formula": "AgAsIr4", "functional": "PBE-GGA", "state": "relaxed", "lattice": [[0.000, 3.701, 3.701], [3.701, 0.000, 3.701], [3.701, 3.701, 0.000]], "species": ["Ag", "As", "Ir", "Ir", "Ir", "Ir"], "frac_coords": [[0.250, 0.250, 0.250], [0.000, 0.000, 0.000], [0.625, 0.625, 0.125], [0.625, 0.125, 0.625], [0.625, 0.625, 0.625], [0.125, 0.625, 0.625]]}



No. 2
{"formula": "AgAs2Ir", "functional": "PBE-GGA", "state": "relaxed", "lattice": [[-1.745, -0.555, -2.486], [3.887, -3.640, -1.916], [0.762, -5.334, 0.657]], "species": ["As", "As", "Ir", "Ag"], "frac_coords": [[0.000, 0.000, 0.000], [0.500, 0.500, 0.000], [0.500, 0.500, 0.500], [0.000, 0.000, 0.500]]}



No. 3
{"formula": "AgAs2Ir", "functional": "PBE-GGA", "state": "relaxed", "lattice": [[4.153, 0.000, 0.000], [0.000, 2.876, 0.335], [0.000, 2.178, 6.912]], "species": ["As", "As", "Ir", "Ag"], "frac_coords": [[0.000, 0.967, 0.903], [0.500, 0.552, 0.329], [0.000, 0.352, 0.525], [0.500, 0.630, 0.743]]}



No. 4
{"formula": "AgAs2Ir", "functional": "PBE-GGA", "state": "relaxed", "lattice": [[5.158, 0.003, 0.000], [2.139, 4.694, 0.000], [-3.649, -2.348, 2.789]], "species": ["As", "As", "Ir", "Ag"], "frac_coords": [[0.000, 0.000, 0.000], [0.250, 0.750, 0.500], [0.500, 0.500, 0.000], [0.750, 0.250, 0.500]]}



No. 5
{"formula": "AgAs2Ir", "functional": "PBE-GGA", "state": "relaxed", "lattice": [[-1.970, -1.566, 1.556], [1.621, 0.391, 2.445], [-4.216, 6.971, 1.680]], "species": ["As", "As", "Ir", "Ag"], "frac_coords": [[0.000, 0.000, 0.979], [0.500, 0.500, 0.309], [0.000, 0.000, 0.477], [0.500, 0.500, 0.734]]}



No. 6
{"formula": "AgAs2Ir", "functional": "PBE-GGA", "state": "relaxed", "lattice": [[-0.851, 2.374, -1.363], [-1.129, -2.524, -0.757], [-7.279, 1.242, 6.711]], "species": ["As", "As", "Ir", "Ag"], "frac_coords": [[0.000, 0.000, 0.982], [0.500, 0.500, 0.288], [0.000, 0.000, 0.492], [0.500, 0.500, 0.738]]}



No. 7
{"formula": "AgAs2Ir", "functional": "PBE-GGA", "state": "relaxed", "lattice": [[-1.442, 1.980, 3.830], [0.532, -3.929, 2.232], [3.083, 0.832, 0.731]], "species": ["As", "As", "Ir", "Ag"], "frac_coords": [[0.000, 0.000, 0.000], [0.500, 0.500, 0.000], [0.500, 0.000, 0.500], [0.000, 0.500, 0.500]]}



No. 8
{"formula": "Ag4AsIr", "functional": "PBE-GGA", "state": "relaxed", "lattice": [[0.000, 3.799, 3.799], [3.799, 0.000, 3.799], [3.799, 3.799, 0.000]], "species": ["Ag", "Ag", "Ag", "Ag", "As", "Ir"], "frac_coords": [[0.876, 0.375, 0.375], [0.375, 0.375, 0.876], [0.375, 0.876, 0.375], [0.375, 0.375, 0.375], [0.750, 0.750, 0.750], [0.000, 0.000, 0.000]]}



Ρ: 15.6, 10.8, 9.4, 11.1, 10.3, 10.4, 11.0, 10.6 (g/cm3)
E: -6.587, -4.950, -5.069, -4.880, -5.116, -4.956, -4.943, -3.529 (eV per atom)